[1]
GdHg2Pb PBE optimized geometry; total energy = -2.604 eV per atom; space group = P4/mmm (123)
1.0
-0.7431 -0.5818 -4.4851
1.5498 -4.3028 0.3014
-4.5178 -1.5607 0.9509
Gd Hg Pb
1 2 1
direct
0.0000 0.0000 0.5000 Gd
0.5000 0.0000 0.0000 Hg
0.0000 0.5000 0.0000 Hg
0.5000 0.5000 0.5000 Pb

***

[2]
GdHgPb PBE optimized geometry; energy above the lowest structure with this stoichiometry = 0 meV per atom; total energy = -3.055 eV per atom; space group = F-43m (216)
1.0
-2.1690 0.0876 4.6401
-4.4085 2.5079 0.7197
-4.3226 -2.6123 0.8566
Pb Hg Gd
1 1 1
direct
0.7500 0.7500 0.7500 Pb
0.2500 0.2500 0.2500 Hg
0.0000 0.0000 0.0000 Gd

***

[3]
GdHgPb PBE optimized geometry; energy above the lowest structure with this stoichiometry = 61 meV per atom; total energy = -2.994 eV per atom; space group = F-43m (216)
1.0
4.5207 -2.3422 -0.1871
2.6749 -0.7199 4.2760
0.5203 -4.6904 1.9201
Hg Pb Gd
1 1 1
direct
0.7500 0.7500 0.7500 Hg
0.0000 0.0000 0.0000 Pb
0.2500 0.2500 0.2500 Gd

***

[4]
GdHgPd PBE optimized geometry; ΔH_f (0 K) = -0.244 eV/atom; total energy = -3.620 eV per atom; space group = F-43m (216)
1.0
-1.5300 -0.3374 4.5810
-4.5685 1.1494 1.1173
-3.1316 -3.4719 1.2569
Pd Gd Hg
1 1 1
direct
0.7500 0.7500 0.7500 Pd
0.0000 0.0000 0.0000 Gd
0.2500 0.2500 0.2500 Hg

***

[5]
PrGdHg2 PBE optimized geometry; ΔH_f (0 K) = -0.471 eV/atom; total energy = -2.977 eV per atom; space group = Fm-3m (225)
1.0
0.0000 3.7989 3.7989
3.7989 0.0000 3.7989
3.7989 3.7989 0.0000
Gd Hg Pr
1 2 1
direct
0.5000 0.5000 0.5000 Gd
0.2500 0.2500 0.2500 Hg
0.7500 0.7500 0.7500 Hg
0.0000 0.0000 0.0000 Pr

***

[6]
PrGdHg PBE optimized geometry; energy above the lowest structure with this stoichiometry = 0 meV per atom; ΔH_f (0 K) = -0.098 eV/atom; total energy = -3.340 eV per atom; space group = F-43m (216)
1.0
-4.5671 -2.4592 0.4853
-4.0689 1.4649 -2.9051
-1.7144 -3.0899 -3.8281
Pr Gd Hg
1 1 1
direct
0.7500 0.7500 0.7500 Pr
0.2500 0.2500 0.2500 Gd
0.0000 0.0000 0.0000 Hg